A plane-wave DFT calculation with PBE was carried out for a relaxed structure of Pa2Si3Ir4W.

Values from the calculation:
Raw formation energy, meV per atom: -840

Cell lengths 4.100, 4.100, 10.327 Å; angles 90.00, 90.00, 90.00 degrees
Space group P-4m2 (No. 115)
Unique sites:
Pa 0.000 0.500 0.240 [2 per cell]
Si 0.000 0.500 0.870 [2 per cell]
Si 0.500 0.500 0.500 [1 per cell]
Ir 0.000 0.000 0.000 [1 per cell]
Ir 0.000 0.500 0.638 [2 per cell]
Ir 0.500 0.500 0.000 [1 per cell]
W 0.000 0.000 0.500 [1 per cell]